Entry 1:
Below is Ac2FeAs4Pd3 after structural relaxation, with properties calculated at the PBE level.

Properties
SG: P-4m2
E_form: -0.813 eV per atom
D(E_F): 0.6430 states/eV per atom

Cell and atoms, written as POSCAR:
```
Ac2FeAs4Pd3
1.0
-1.700 -4.152 0.203
3.186 -1.161 2.944
-6.031 2.844 7.649
Ac Fe As Pd
2 1 4 3
Cartesian
-2.352 -1.368 2.006
-2.936 1.555 7.216
-2.272 -1.234 5.398
0.743 -2.656 1.574
0.000 0.000 0.000
-4.616 -0.300 4.877
-0.672 0.488 4.345
-3.016 1.422 3.825
-6.149 0.423 6.822
0.861 -0.235 2.401
```

---

Entry 2:
Below is Ac2FeAs4Pt3 after structural relaxation, with properties calculated at the PBE level.

Properties
SG: P-4m2
E_form: -0.842 eV per atom
D(E_F): 0.5899 states/eV per atom

Cell and atoms, written as POSCAR:
```
Ac2FeAs4Pt3
1.0
-2.091 -2.889 -2.753
3.878 -0.738 -2.171
2.109 -7.574 6.345
Ac Fe As Pt
2 1 4 3
Cartesian
-0.518 -3.338 0.210
3.521 -6.049 3.673
1.948 -5.601 0.710
0.894 -1.813 -2.462
0.000 0.000 0.000
0.272 -6.174 2.585
2.731 -3.214 1.298
1.055 -3.787 3.172
0.811 -8.111 4.208
2.192 -1.277 -0.325
```

---

Entry 3:
Below is Ac2FeAsPt6 after structural relaxation, with properties calculated at the PBE level.

Properties
SG: C2/m
E_form: -0.740 eV per atom
D(E_F): 0.6106 states/eV per atom

Cell and atoms, written as POSCAR:
```
Ac2FeAsPt6
1.0
6.759 0.275 1.013
0.337 6.668 1.006
4.306 4.144 5.972
Ac Fe As Pt
2 1 1 6
Cartesian
7.087 3.823 3.755
4.315 7.265 4.236
0.000 0.000 0.000
3.548 3.472 1.009
3.857 3.849 3.494
9.575 9.409 7.466
2.491 5.631 1.793
8.910 5.456 6.198
1.827 1.678 0.525
7.545 7.239 4.497
```

---

Entry 4:
Below is Ac2FeAs4Rh3 after structural relaxation, with properties calculated at the PBE level.

Properties
SG: P-4m2
E_form: -0.832 eV per atom
D(E_F): 0.8059 states/eV per atom

Cell and atoms, written as POSCAR:
```
Ac2FeAs4Rh3
1.0
-3.282 0.429 2.925
-0.742 -4.350 -0.195
6.508 -1.446 7.516
Ac Fe As Rh
2 1 4 3
Cartesian
-0.028 -0.144 3.326
4.524 -3.263 5.555
1.242 -2.684 5.123
-2.012 -1.960 1.365
0.000 0.000 0.000
2.434 -0.691 6.168
2.062 -2.716 2.712
3.254 -0.723 3.758
4.094 -1.060 8.085
0.402 -2.347 0.795
```

---

Entry 5:
Below is Ac3GaAs after structural relaxation, with properties calculated at the PBE level.

Properties
SG: Pm-3m
E_form: -0.327 eV per atom
D(E_F): 0.7432 states/eV per atom

Cell and atoms, written as POSCAR:
```
Ac3GaAs
1.0
5.937 0.000 0.000
0.000 5.937 0.000
0.000 0.000 5.937
Ac As Ga
3 1 1
Cartesian
0.000 2.969 0.000
0.000 0.000 2.969
2.969 0.000 0.000
0.000 0.000 0.000
2.969 2.969 2.969
```

---

Entry 6:
Below is AcGaAs after structural relaxation, with properties calculated at the PBE level.

Properties
ΔE to the lowest computed polymorph: 6 meV/atom
SG: R-3m
E_form: -0.762 eV per atom
D(E_F): 0.2797 states/eV per atom

Cell and atoms, written as POSCAR:
```
AcGaAs
1.0
-2.431 0.836 -4.465
-4.523 -2.284 -0.938
-6.216 5.876 1.512
As Ac Ga
2 2 2
Cartesian
-2.930 0.515 -1.281
-10.240 3.912 -2.610
-7.670 3.983 -1.024
-5.500 0.444 -2.868
-9.010 1.906 -3.656
-4.160 2.522 -0.236
```

---

Entry 7:
Below is AcGaAs2 after structural relaxation, with properties calculated at the PBE level.

Properties
ΔE to the lowest computed polymorph: 157 meV/atom
SG: Fm-3m
E_form: -0.431 eV per atom
D(E_F): 1.1638 states/eV per atom

Cell and atoms, written as POSCAR:
```
AcGaAs2
1.0
5.225 0.000 0.000
2.612 4.525 0.000
2.612 1.508 4.266
Ac As Ga
1 2 1
Cartesian
0.000 0.000 0.000
2.612 1.508 1.067
7.837 4.525 3.200
5.225 3.017 2.133
```

---

Entry 8:
Below is AcGaAs after structural relaxation, with properties calculated at the PBE level.

Properties
ΔE to the lowest computed polymorph: 0 meV/atom
SG: P3m1
E_form: -0.768 eV per atom
D(E_F): 0.6697 states/eV per atom

Cell and atoms, written as POSCAR:
```
AcGaAs
1.0
4.241 0.000 0.000
0.000 4.668 0.000
0.000 -2.334 4.043
Ac As Ga
1 1 1
Cartesian
2.826 2.334 1.348
0.701 0.000 0.000
0.713 0.000 2.695
```

---

Entry 9:
Below is AcGaAs3 after structural relaxation, with properties calculated at the PBE level.

Properties
SG: Pm-3m
E_form: -0.272 eV per atom
D(E_F): 0.6655 states/eV per atom

Cell and atoms, written as POSCAR:
```
AcGaAs3
1.0
5.000 0.000 0.000
0.000 5.000 0.000
0.000 0.000 5.000
Ac As Ga
1 3 1
Cartesian
2.500 2.500 2.500
0.000 2.500 0.000
0.000 0.000 2.500
2.500 0.000 0.000
0.000 0.000 0.000
```

---

Entry 10:
Below is Ac4Ga2As after structural relaxation, with properties calculated at the PBE level.

Properties
SG: I4/mmm
E_form: -0.426 eV per atom
D(E_F): 0.6832 states/eV per atom

Cell and atoms, written as POSCAR:
```
Ac4Ga2As
1.0
6.040 0.000 0.000
0.000 6.040 0.000
-3.020 -3.020 7.582
Ac As Ga
4 1 2
Cartesian
3.020 3.020 4.494
0.000 0.000 3.088
0.000 3.020 0.000
3.020 0.000 0.000
0.000 0.000 0.000
3.020 3.020 1.415
0.000 0.000 6.167
```

---

Entry 11:
Below is AcGaAs2 after structural relaxation, with properties calculated at the PBE level.

Properties
ΔE to the lowest computed polymorph: 72 meV/atom
SG: P4/mmm
E_form: -0.516 eV per atom
D(E_F): 0.2912 states/eV per atom

Cell and atoms, written as POSCAR:
```
AcGaAs2
1.0
-2.880 2.427 -1.319
0.753 -1.144 -3.748
-4.134 -4.595 0.572
Ac As Ga
1 2 1
Cartesian
-3.131 -1.656 -2.248
-3.272 -3.637 0.453
-0.862 -0.959 0.119
-1.064 0.642 -2.534
```

---

Entry 12:
Below is AcGaAs2 after structural relaxation, with properties calculated at the PBE level.

Properties
ΔE to the lowest computed polymorph: 61 meV/atom
SG: R-3m
E_form: -0.526 eV per atom
D(E_F): 0.2807 states/eV per atom

Cell and atoms, written as POSCAR:
```
AcGaAs2
1.0
4.318 0.000 0.000
2.159 3.739 0.000
2.159 1.246 6.464
Ac As Ga
1 2 1
Cartesian
4.318 2.493 3.232
2.159 1.246 1.320
6.477 3.739 5.143
0.000 0.000 0.000
```